Computed, not measured: MgBeSiNi after structural relaxation at the PBE level of DFT.

Structure (CIF):
```
data_MgBeSiNi
_chemical_formula_sum 'Mg4 Be4 Si4 Ni4'
_cell_length_a 5.781
_cell_length_b 5.781
_cell_length_c 5.781
_cell_angle_alpha 90.00
_cell_angle_beta 90.00
_cell_angle_gamma 90.00
_symmetry_space_group_name_H-M 'F -4 3 m'
_symmetry_Int_Tables_number 216
_symmetry_space_group_name_Hall 'F -4 2 3'
loop_
_atom_site_label
_atom_site_type_symbol
_atom_site_fract_x
_atom_site_fract_y
_atom_site_fract_z
_atom_site_occupancy
Mg1 Mg 0.000 0.000 0.000 1
Be1 Be 0.250 0.250 0.750 1
Si1 Si 0.000 0.000 0.500 1
Ni1 Ni 0.250 0.250 0.250 1
```

Polymorph energy (0 for the lowest one): 0 meV per atom
Total magnetic moment: 0.01 μB per cell
Crystal system: cubic

Computed, not measured: Dy2TmAl3Ni3 after structural relaxation at the PBE level of DFT.

Structure (CIF):
```
data_Dy2TmAl3Ni3
_chemical_formula_sum 'Dy4 Tm2 Al6 Ni6'
_cell_length_a 3.936
_cell_length_b 11.927
_cell_length_c 6.882
_cell_angle_alpha 90.00
_cell_angle_beta 90.00
_cell_angle_gamma 90.00
_symmetry_space_group_name_H-M 'A m m 2'
_symmetry_Int_Tables_number 38
loop_
_symmetry_equiv_pos_as_xyz
'x,y,z'
'-x,-y,z'
'-x,y,z'
'x,-y,z'
'x,y+1/2,z+1/2'
'-x,-y+1/2,z+1/2'
'-x,y+1/2,z+1/2'
'x,-y+1/2,z+1/2'
loop_
_atom_site_label
_atom_site_type_symbol
_atom_site_fract_x
_atom_site_fract_y
_atom_site_fract_z
_atom_site_occupancy
Dy1 Dy 0.000 0.208 0.000 1
Tm1 Tm 0.000 0.000 0.377 1
Al1 Al 0.500 0.000 0.028 1
Al2 Al 0.500 0.118 0.673 1
Ni1 Ni 0.000 0.000 0.789 1
Ni2 Ni 0.500 0.164 0.292 1
```

Total magnetic moment: 0.01 μB per cell
Crystal system: orthorhombic
VASP energy: -94.34 eV per cell

Computed, not measured: AcMoW after structural relaxation at the PBE level of DFT.

Structure (CIF):
```
data_AcMoW
_chemical_formula_sum 'Ac4 Mo4 W4'
_cell_length_a 6.660
_cell_length_b 6.660
_cell_length_c 6.660
_cell_angle_alpha 90.00
_cell_angle_beta 90.00
_cell_angle_gamma 90.00
_symmetry_space_group_name_H-M 'F -4 3 m'
_symmetry_Int_Tables_number 216
_symmetry_space_group_name_Hall 'F -4 2 3'
loop_
_atom_site_label
_atom_site_type_symbol
_atom_site_fract_x
_atom_site_fract_y
_atom_site_fract_z
_atom_site_occupancy
Ac1 Ac 0.000 0.000 0.000 1
Mo1 Mo 0.000 0.000 0.500 1
W1 W 0.250 0.250 0.750 1
```

DFT formation energy: 1135 meV/atom
Polymorph energy (0 for the lowest one): 0 meV per atom
Total magnetic moment: 1.32 μB per cell
Crystal system: cubic

Computed, not measured: YTaB after structural relaxation at the PBE level of DFT.

Structure (CIF):
```
data_YTaB
_chemical_formula_sum 'Y4 Ta4 B4'
_cell_length_a 6.409
_cell_length_b 6.409
_cell_length_c 6.409
_cell_angle_alpha 90.00
_cell_angle_beta 90.00
_cell_angle_gamma 90.00
_symmetry_space_group_name_H-M 'F -4 3 m'
_symmetry_Int_Tables_number 216
_symmetry_space_group_name_Hall 'F -4 2 3'
loop_
_atom_site_label
_atom_site_type_symbol
_atom_site_fract_x
_atom_site_fract_y
_atom_site_fract_z
_atom_site_occupancy
Y1 Y 0.000 0.000 0.000 1
Ta1 Ta 0.250 0.250 0.250 1
B1 B 0.250 0.250 0.750 1
```

Polymorph energy (0 for the lowest one): 1697 meV per atom
Total magnetic moment: 11.09 μB per cell
Crystal system: cubic

Computed, not measured: Cu2Ag3 after structural relaxation at the PBE level of DFT.

Structure (CIF):
```
data_Cu2Ag3
_chemical_formula_sum 'Cu8 Ag12'
_cell_length_a 4.816
_cell_length_b 14.194
_cell_length_c 4.810
_cell_angle_alpha 90.00
_cell_angle_beta 108.25
_cell_angle_gamma 90.00
_symmetry_space_group_name_H-M 'C 1 2 1'
_symmetry_Int_Tables_number 5
loop_
_symmetry_equiv_pos_as_xyz
'x,y,z'
'-x,y,-z'
'x+1/2,y+1/2,z'
'-x+1/2,y+1/2,-z'
loop_
_atom_site_label
_atom_site_type_symbol
_atom_site_fract_x
_atom_site_fract_y
_atom_site_fract_z
_atom_site_occupancy
Cu1 Cu 0.000 0.000 0.000 1
Cu2 Cu 0.000 0.090 0.500 1
Cu3 Cu 0.000 0.182 0.000 1
Cu4 Cu 0.000 0.493 0.500 1
Ag1 Ag 0.000 0.286 0.500 1
Ag2 Ag 0.000 0.392 0.000 1
Ag3 Ag 0.000 0.587 0.000 1
Ag4 Ag 0.000 0.684 0.500 1
Ag5 Ag 0.000 0.791 0.000 1
Ag6 Ag 0.000 0.903 0.500 1
```

DFT formation energy: 92 meV/atom
Polymorph energy (0 for the lowest one): 60 meV per atom
Crystal system: monoclinic

Computed, not measured: NdTaBe after structural relaxation at the PBE level of DFT.

Structure (CIF):
```
data_NdTaBe
_chemical_formula_sum 'Nd4 Ta4 Be4'
_cell_length_a 6.332
_cell_length_b 6.332
_cell_length_c 6.332
_cell_angle_alpha 90.00
_cell_angle_beta 90.00
_cell_angle_gamma 90.00
_symmetry_space_group_name_H-M 'F -4 3 m'
_symmetry_Int_Tables_number 216
_symmetry_space_group_name_Hall 'F -4 2 3'
loop_
_atom_site_label
_atom_site_type_symbol
_atom_site_fract_x
_atom_site_fract_y
_atom_site_fract_z
_atom_site_occupancy
Nd1 Nd 0.000 0.000 0.000 1
Ta1 Ta 0.000 0.000 0.500 1
Be1 Be 0.250 0.250 0.250 1
```

Total magnetic moment: 0.18 μB per cell
Crystal system: cubic
VASP energy: -72.43 eV per cell

Computed, not measured: ScAlSiPt after structural relaxation at the PBE level of DFT.

Structure (CIF):
```
data_ScAlSiPt
_chemical_formula_sum 'Sc4 Al4 Si4 Pt4'
_cell_length_a 6.489
_cell_length_b 4.174
_cell_length_c 9.743
_cell_angle_alpha 90.00
_cell_angle_beta 90.00
_cell_angle_gamma 90.00
_symmetry_space_group_name_H-M 'A m m 2'
_symmetry_Int_Tables_number 38
loop_
_symmetry_equiv_pos_as_xyz
'x,y,z'
'-x,-y,z'
'-x,y,z'
'x,-y,z'
'x,y+1/2,z+1/2'
'-x,-y+1/2,z+1/2'
'-x,y+1/2,z+1/2'
'x,-y+1/2,z+1/2'
loop_
_atom_site_label
_atom_site_type_symbol
_atom_site_fract_x
_atom_site_fract_y
_atom_site_fract_z
_atom_site_occupancy
Sc1 Sc 0.000 0.000 0.000 1
Sc2 Sc 0.500 0.000 0.152 1
Al1 Al 0.298 0.000 0.447 1
Si1 Si 0.201 0.000 0.704 1
Pt1 Pt 0.000 0.000 0.282 1
Pt2 Pt 0.500 0.000 0.867 1
```

Polymorph energy (0 for the lowest one): 27 meV per atom
Total magnetic moment: 0.02 μB per cell
Crystal system: orthorhombic

Computed, not measured: Be2AlPd after structural relaxation at the PBE level of DFT.

Structure (CIF):
```
data_Be2AlPd
_chemical_formula_sum 'Be8 Al4 Pd4'
_cell_length_a 5.724
_cell_length_b 5.724
_cell_length_c 5.724
_cell_angle_alpha 90.00
_cell_angle_beta 90.00
_cell_angle_gamma 90.00
_symmetry_space_group_name_H-M 'F -4 3 m'
_symmetry_Int_Tables_number 216
_symmetry_space_group_name_Hall 'F -4 2 3'
loop_
_atom_site_label
_atom_site_type_symbol
_atom_site_fract_x
_atom_site_fract_y
_atom_site_fract_z
_atom_site_occupancy
Be1 Be 0.000 0.000 0.000 1
Be2 Be 0.250 0.250 0.250 1
Al1 Al 0.000 0.000 0.500 1
Pd1 Pd 0.250 0.250 0.750 1
```

Crystal system: cubic
VASP energy: -69.65 eV per cell